The following is a PBE with a Hubbard U calculation of crystalline UNbCrO6 at its relaxed geometry, from Alexandria via LeMat-Bulk.

- total DFT energy (no corrections) (eV per atom) = -9.036

Structure (POSCAR):
```
UNbCrO6
1.0
-0.838 4.687 -2.367
-3.592 -3.893 -0.465
-4.246 3.023 7.489
O Nb Cr U
12 2 2 2
Cartesian
-4.341 -1.982 -0.245
-5.683 0.441 0.742
-3.023 1.317 1.897
-4.614 5.295 2.222
-3.571 0.860 -0.956
-4.062 -1.478 2.436
-4.334 5.799 4.902
-5.104 2.957 5.613
-1.732 -0.822 0.766
-2.992 3.376 3.915
-6.944 4.639 3.891
-5.653 2.500 2.760
-2.123 1.511 3.745
0.000 0.000 0.000
-4.940 4.094 3.884
-3.735 -0.277 0.773
-2.817 2.583 0.139
-5.858 1.234 4.518
```